Record 1
VASP calculation (PBE) on a geometry-optimized Cu2NiOs structure.

Cell lengths 2.6184, 2.6184, 7.2363 Å; angles 90.00, 90.00, 90.00 degrees
Closest atoms and distances in Å follow each position.
Atoms (fractional coordinates):
Cu: 0.0000 0.0000 0.0089  8 Cu 2.57-2.62, 4 Os 2.69
Cu: 0.5000 0.5000 0.2545  4 Ni 2.55, 8 Cu 2.57-2.62
Ni: 0.0000 0.0000 0.4970  4 Cu 2.55, 4 Os 2.55, 4 Ni 2.62
Os: 0.5000 0.5000 0.7396  4 Ni 2.55, 4 Os 2.62, 4 Cu 2.69

Summary:
Formation energy in meV per atom: 167
Total DFT energy (no corrections) in eV/atom: -6.13
Space group: P4mm (99)

Record 2
VASP calculation (PBE) on a geometry-optimized Zr2BeCrSi structure.

Cell lengths 4.6327, 3.9911, 4.6327 Å; angles 90.00, 90.00, 90.00 degrees
Closest atoms and distances in Å follow each position.
Atoms (fractional coordinates):
Cr: 0.0000 0.5000 0.0000  2 Be 2.00
Si: 0.5000 0.5000 0.5000  8 Zr 3.06, 4 Cr 3.28
Zr: 0.0000 0.0000 0.5000  2 Be 2.32
Zr: 0.5000 0.0000 0.0000  2 Be 2.32
Be: 0.0000 0.0000 0.0000  2 Cr 2.00

Summary:
Total DFT energy (no corrections) in eV/atom: -6.90
Space group: P4/mmm (123)

Record 3
VASP calculation (PBE) on a geometry-optimized TiNbP2O structure.

Cell lengths 4.9018, 4.9018, 3.8060 Å; angles 90.00, 90.00, 90.00 degrees
Closest atoms and distances in Å follow each position.
Atoms (fractional coordinates):
P: 0.0000 0.5000 0.0000  2 Nb 2.45
P: 0.5000 0.0000 0.0000  2 Nb 2.45
Nb: 0.0000 0.0000 0.0000  2 O 1.90
O: 0.0000 0.0000 0.5000  2 Nb 1.90
Ti: 0.5000 0.5000 0.5000  8 P 3.10, 4 O 3.47

Summary:
Total DFT energy (no corrections) in eV/atom: -7.18
Space group: P4/mmm (123)